[1]
DFT (GGA-PBE) results for a geometry-optimized CaMg2RuPt structure.

a b c (Å): 5.141 4.380 5.141
angles (deg): 90.00 90.00 90.00
Positions (direct):
1 Mg 0.500 0.000 0.000
2 Mg 0.000 0.000 0.500
3 Ca 0.000 0.000 0.000
4 Ru 0.000 0.500 0.000
5 Pt 0.500 0.500 0.500

Summary:
DOS at the Fermi energy: 2.00 states/eV/cell
space group: No. 123
calculated formation energy: 7.3 eV/f.u.



[2]
DFT (GGA-PBE) results for a geometry-optimized Ca2MgSb3Pt4 structure.

a b c (Å): 4.518 4.518 10.951
angles (deg): 90.00 90.00 90.00
Positions (direct):
1 Pt 0.500 0.000 0.632
2 Pt 0.000 0.500 0.368
3 Pt 0.500 0.500 0.000
4 Pt 0.000 0.000 0.000
5 Sb 0.000 0.500 0.132
6 Sb 0.000 0.000 0.500
7 Sb 0.500 0.000 0.868
8 Ca 0.000 0.500 0.762
9 Ca 0.500 0.000 0.238
10 Mg 0.500 0.500 0.500

Summary:
uncorrected formation energy: -762 kJ/mol of formula units
DOS at the Fermi energy: 4.46 states/eV/cell
space group: No. 115



[3]
DFT (GGA-PBE) results for a geometry-optimized CaMg2PtSe structure.

a b c (Å): 5.889 5.889 4.863
angles (deg): 90.00 90.00 90.00
Positions (direct):
1 Se 0.500 0.500 0.500
2 Pt 0.000 0.000 0.500
3 Mg 0.000 0.500 0.000
4 Mg 0.500 0.000 0.000
5 Ca 0.000 0.000 0.000

Summary:
uncorrected formation energy: 396 kJ/mol of formula units
DOS at the Fermi energy: 4.89 states/eV/cell
space group: No. 123



no.,total DFT energy (no corrections) (eV for the cell shown)
1,-13.22
2,-50.03
3,-10.61